# 1
Below is a PBEsol-optimized structure of ZnMo2Pt, with properties calculated at the SCAN level.

Lattice parameters (Å, degrees): 9.1062 2.6518 4.9159 90.00 96.78 90.00
With the nearest neighbours (Å) after each atom.
Space group Cm (No. 8)
Asymmetric unit:
Zn  0.0000  0.0000  0.0000 x2  2 Zn 2.65, 3 Pt 2.66-2.75, 7 Mo 2.72-2.82
Mo  0.2475  0.0000  0.7410 x2  5 Mo 2.60-2.84, 3 Zn 2.72-2.82, 4 Pt 2.74-2.85
Mo  0.4878  0.0000  0.5012 x2  5 Mo 2.60-2.84, 3 Pt 2.76-2.86, 4 Zn 2.78-2.81
Pt  0.2489  0.5000  0.2285 x2  2 Pt 2.65, 3 Zn 2.66-2.75, 7 Mo 2.74-2.86

Computed properties:
total energy	-38.474	eV/atom
formation enthalpy at 0 K	-0.10	eV per atom



# 2
Below is a PBEsol-optimized structure of Zn2MoPt, with properties calculated at the SCAN level.

Lattice parameters (Å, degrees): 6.1473 6.1473 6.1473 90.00 90.00 90.00
With the nearest neighbours (Å) after each atom.
Space group F-43m (No. 216)
Asymmetric unit:
Zn  0.0000  0.0000  0.0000 x4  4 Zn 2.66, 4 Mo 2.66
Zn  0.2500  0.2500  0.2500 x4  4 Pt 2.66, 4 Zn 2.66
Mo  0.2500  0.2500  0.7500 x4  4 Pt 2.66, 4 Zn 2.66
Pt  0.0000  0.0000  0.5000 x4  4 Mo 2.66, 4 Zn 2.66

Computed properties:
relative energy among the computed polymorphs	0.033	eV/atom
total energy	-33.059	eV/atom
formation enthalpy at 0 K	-0.03	eV per atom



# 3
Below is a PBEsol-optimized structure of ZnMo4Pt, with properties calculated at the SCAN level.

Lattice parameters (Å, degrees): 7.2331 7.2331 7.2331 90.00 90.00 90.00
With the nearest neighbours (Å) after each atom.
Space group F-43m (No. 216)
Asymmetric unit:
Zn  0.0000  0.0000  0.0000 x4  12 Mo 3.00, 4 Pt 3.13
Mo  0.1266  0.1266  0.3734 x16  6 Mo 2.53-2.59
Pt  0.2500  0.2500  0.7500 x4  12 Mo 3.00, 4 Zn 3.13

Computed properties:
total energy	-36.875	eV/atom
formation enthalpy at 0 K	0.33	eV per atom



# 4
Below is a PBEsol-optimized structure of RbReMo3, with properties calculated at the SCAN level.

Lattice parameters (Å, degrees): 4.5035 4.5035 4.5035 90.00 90.00 90.00
With the nearest neighbours (Å) after each atom.
Space group Pm-3m (No. 221)
Asymmetric unit:
Rb  0.0000  0.0000  0.0000 x1  6 Mo 2.25
Re  0.5000  0.5000  0.5000 x1  12 Mo 3.18
Mo  0.0000  0.0000  0.5000 x3  2 Rb 2.25

Computed properties:
total energy	-35.541	eV/atom
formation enthalpy at 0 K	3.76	eV per atom



# 5
Below is a PBEsol-optimized structure of RbMoRu3, with properties calculated at the SCAN level.

Lattice parameters (Å, degrees): 4.5368 4.5368 4.5368 90.00 90.00 90.00
With the nearest neighbours (Å) after each atom.
Space group Pm-3m (No. 221)
Asymmetric unit:
Rb  0.0000  0.0000  0.0000 x1  6 Ru 2.27
Mo  0.5000  0.5000  0.5000 x1  12 Ru 3.21
Ru  0.0000  0.0000  0.5000 x3  2 Rb 2.27

Computed properties:
total energy	-28.635	eV/atom
formation enthalpy at 0 K	3.39	eV per atom



# 6
Below is a PBEsol-optimized structure of Rb2TaMoRu, with properties calculated at the SCAN level.

Lattice parameters (Å, degrees): 6.1730 6.1730 4.5810 90.00 90.00 90.00
With the nearest neighbours (Å) after each atom.
Space group P4/mmm (No. 123)
Asymmetric unit:
Rb  0.0000  0.5000  0.0000 x2  2 Mo 3.09
Ta  0.0000  0.0000  0.5000 x1  2 Mo 2.29
Mo  0.0000  0.0000  0.0000 x1  2 Ta 2.29
Ru  0.5000  0.5000  0.5000 x1  8 Rb 3.84

Computed properties:
total energy	-33.183	eV/atom
formation enthalpy at 0 K	2.37	eV per atom